No. 1
! GaMo3S, optimized geometry, DFT GGA-PBEsol; values from VASP
! Energy relative to the elements, uncorrected, meV per atom: 1897
! E_tot, eV per atom: -6.709
! N(E_F), states/eV/atom: 1.290
&SYSTEM
  ibrav = 0, nat = 5, ntyp = 3
/
ATOMIC_SPECIES
Ga 69.72 Ga.upf
Mo 95.94 Mo.upf
S 32.06 S.upf
CELL_PARAMETERS angstrom
4.567 0.000 0.000
0.000 4.567 0.000
0.000 0.000 4.567
ATOMIC_POSITIONS angstrom
Ga 0.000 0.000 0.000
Mo 0.000 0.000 2.283
Mo 0.000 2.283 0.000
Mo 2.283 0.000 0.000
S 2.283 2.283 2.283

No. 2
! GaMo4S8, optimized geometry, DFT GGA-PBEsol; values from VASP
! Energy relative to the elements, uncorrected, meV per atom: -859
! E_tot, eV per atom: -7.435
! N(E_F), states/eV/atom: 1.102
&SYSTEM
  ibrav = 0, nat = 13, ntyp = 3
/
ATOMIC_SPECIES
Ga 69.72 Ga.upf
Mo 95.94 Mo.upf
S 32.06 S.upf
CELL_PARAMETERS angstrom
0.000 4.829 4.829
4.829 0.000 4.829
4.829 4.829 0.000
ATOMIC_POSITIONS angstrom
Ga 0.000 0.000 0.000
Mo 5.821 3.838 3.838
Mo 3.838 5.821 3.838
Mo 3.838 3.838 5.821
Mo 5.821 5.821 5.821
S 3.529 3.529 3.529
S 6.130 6.130 3.529
S 6.130 3.529 6.130
S 8.343 6.145 6.145
S 6.145 8.343 6.145
S 6.145 6.145 8.343
S 8.343 8.343 8.343
S 3.529 6.130 6.130

No. 3
! GaMo4Se4S4, optimized geometry, DFT GGA-PBEsol; values from VASP
! Energy relative to the elements, uncorrected, meV per atom: -764
! E_tot, eV per atom: -7.176
! N(E_F), states/eV/atom: 1.155
&SYSTEM
  ibrav = 0, nat = 13, ntyp = 4
/
ATOMIC_SPECIES
Ga 69.72 Ga.upf
Mo 95.94 Mo.upf
Se 78.96 Se.upf
S 32.06 S.upf
CELL_PARAMETERS angstrom
0.000 4.995 4.995
4.995 0.000 4.995
4.995 4.995 0.000
ATOMIC_POSITIONS angstrom
Ga 0.000 0.000 0.000
Mo 4.006 4.006 4.006
Mo 5.985 5.985 4.006
Mo 5.985 4.006 5.985
Mo 4.006 5.985 5.985
Se 1.371 1.371 1.371
Se 3.624 3.624 1.371
Se 3.624 1.371 3.624
Se 1.371 3.624 3.624
S 6.304 3.687 3.687
S 3.687 6.304 3.687
S 3.687 3.687 6.304
S 6.304 6.304 6.304

No. 4
! VGaMo3S8, optimized geometry, DFT GGA-PBEsol; values from VASP
! Energy relative to the elements, uncorrected, meV per atom: -889
! E_tot, eV per atom: -7.301
! N(E_F), states/eV/atom: 0.254
&SYSTEM
  ibrav = 0, nat = 13, ntyp = 4
/
ATOMIC_SPECIES
V 50.94 V.upf
Ga 69.72 Ga.upf
Mo 95.94 Mo.upf
S 32.06 S.upf
CELL_PARAMETERS angstrom
3.384 1.954 5.637
-3.384 1.954 5.637
0.000 -3.907 5.637
ATOMIC_POSITIONS angstrom
V 0.000 0.000 0.000
Ga 0.000 0.000 10.285
Mo 0.000 -1.585 2.396
Mo -1.373 0.793 2.396
Mo 1.373 0.793 2.396
S -1.848 -1.067 9.492
S 0.000 -1.853 6.623
S -1.605 0.927 6.623
S 0.000 0.000 4.100
S 1.605 0.927 6.623
S 1.848 -1.067 9.492
S 0.000 2.134 9.492
S 0.000 0.000 12.572

No. 5
! Sc3GaMo, optimized geometry, DFT GGA-PBEsol; values from VASP
! E_tot, eV per atom: -6.163
! N(E_F), states/eV/atom: 1.635
! DFT formation energy, meV per atom: 821
&SYSTEM
  ibrav = 0, nat = 5, ntyp = 3
/
ATOMIC_SPECIES
Sc 44.96 Sc.upf
Ga 69.72 Ga.upf
Mo 95.94 Mo.upf
CELL_PARAMETERS angstrom
4.939 0.000 0.000
0.000 4.939 0.000
0.000 0.000 4.939
ATOMIC_POSITIONS angstrom
Sc 0.000 0.000 2.469
Sc 0.000 2.469 0.000
Sc 2.469 0.000 0.000
Ga 0.000 0.000 0.000
Mo 2.469 2.469 2.469

No. 6
! GaMo4Se8, optimized geometry, DFT GGA-PBEsol; values from VASP
! Energy relative to the elements, uncorrected, meV per atom: -618
! E_tot, eV per atom: -6.865
! N(E_F), states/eV/atom: 1.115
&SYSTEM
  ibrav = 0, nat = 13, ntyp = 3
/
ATOMIC_SPECIES
Ga 69.72 Ga.upf
Mo 95.94 Mo.upf
Se 78.96 Se.upf
CELL_PARAMETERS angstrom
0.000 5.058 5.058
5.058 0.000 5.058
5.058 5.058 0.000
ATOMIC_POSITIONS angstrom
Ga 0.000 0.000 0.000
Mo 6.073 4.043 4.043
Mo 4.043 6.073 4.043
Mo 4.043 4.043 6.073
Mo 6.073 6.073 6.073
Se 3.673 3.673 3.673
Se 6.442 6.442 3.673
Se 6.442 3.673 6.442
Se 8.724 6.449 6.449
Se 6.449 8.724 6.449
Se 6.449 6.449 8.724
Se 8.724 8.724 8.724
Se 3.673 6.442 6.442